# RbTbFeF6 | Alexandria | PBE with a Hubbard U | relaxed
data_RbTbFeF6
_cell_length_a 5.9072
_cell_length_b 10.0031
_cell_length_c 5.9601
_cell_angle_alpha 90.00
_cell_angle_beta 90.28
_cell_angle_gamma 90.00
_symmetry_space_group_name_H-M 'C 1 2 1'
_symmetry_Int_Tables_number 5
_symmetry_space_group_name_Hall 'C 2y'
loop_
_atom_site_label
_atom_site_fract_x
_atom_site_fract_y
_atom_site_fract_z
Rb1 0.0000 0.0000 0.0000
Tb1 0.0000 0.3333 0.5000
Fe1 0.0000 0.6701 0.5000
F1 0.1227 0.5080 0.6930
F2 0.1862 0.8039 0.6971
F3 0.1983 0.1881 0.6970
# Total energy, eV/cell: -103.64
# Spin magnetization, μB per formula unit: 4.0